{"formula": "ErTmZr2", "functional": "PBE", "state": "optimized geometry", "e_form_ev_per_atom": 0.082, "energy_ev_per_atom": -6.45, "lattice": [[-2.909, 1.634, 0.293], [-2.831, -1.705, 0.540], [-0.383, 0.799, 10.902]], "species": ["Er", "Tm", "Zr", "Zr"], "fractional_positions": [[0.667, 0.667, 0.000], [0.500, 0.500, 0.500], [0.084, 0.084, 0.749], [0.249, 0.249, 0.252]]}


{"formula": "Y2Ge3", "functional": "PBE", "state": "optimized geometry", "e_form_ev_per_atom": -0.510, "energy_ev_per_atom": -5.87, "lattice": [[-2.858, -2.012, 2.694], [2.716, -2.395, -2.521], [4.840, 0.047, 5.168]], "species": ["Y", "Y", "Ge", "Ge", "Ge"], "fractional_positions": [[0.000, 0.000, 0.732], [0.000, 0.000, 0.268], [0.333, 0.667, 0.000], [0.667, 0.333, 0.500], [0.667, 0.333, 0.000]]}


{"formula": "Sr2Mg12CdHg3", "functional": "PBE", "state": "optimized geometry", "e_form_ev_per_atom": 0.027, "energy_ev_per_atom": -1.32, "lattice": [[0.550, -3.235, 10.806], [7.126, -4.675, 7.409], [5.471, 2.349, 9.596]], "species": ["Sr", "Sr", "Mg", "Mg", "Mg", "Mg", "Mg", "Mg", "Mg", "Mg", "Mg", "Mg", "Mg", "Mg", "Cd", "Hg", "Hg", "Hg"], "fractional_positions": [[0.646, 0.646, 0.646], [0.354, 0.354, 0.354], [0.413, 0.413, 0.808], [0.922, 0.922, 0.364], [0.364, 0.922, 0.922], [0.808, 0.413, 0.413], [0.922, 0.364, 0.922], [0.413, 0.808, 0.413], [0.587, 0.587, 0.192], [0.078, 0.078, 0.636], [0.636, 0.078, 0.078], [0.192, 0.587, 0.587], [0.078, 0.636, 0.078], [0.587, 0.192, 0.587], [0.000, 0.000, 0.000], [0.500, 0.000, 0.000], [0.000, 0.500, 0.000], [0.000, 0.000, 0.500]]}


{"formula": "LiAc2AlGe6", "functional": "PBE", "state": "optimized geometry", "e_form_ev_per_atom": -0.370, "energy_ev_per_atom": -4.53, "lattice": [[-0.704, -5.817, 2.905], [4.409, -4.721, -1.022], [7.763, 0.502, 10.249]], "species": ["Li", "Li", "Ac", "Ac", "Ac", "Ac", "Al", "Al", "Ge", "Ge", "Ge", "Ge", "Ge", "Ge", "Ge", "Ge", "Ge", "Ge", "Ge", "Ge"], "fractional_positions": [[0.000, 0.000, 0.000], [0.500, 0.500, 0.500], [0.887, 0.887, 0.338], [0.113, 0.113, 0.662], [0.709, 0.709, 0.872], [0.291, 0.291, 0.128], [0.571, 0.571, 0.288], [0.429, 0.429, 0.712], [0.934, 0.330, 0.405], [0.330, 0.934, 0.405], [0.330, 0.330, 0.405], [0.066, 0.670, 0.595], [0.670, 0.066, 0.595], [0.670, 0.670, 0.595], [0.644, 0.235, 0.885], [0.235, 0.644, 0.885], [0.235, 0.235, 0.885], [0.356, 0.765, 0.115], [0.765, 0.356, 0.115], [0.765, 0.765, 0.115]]}


{"formula": "Ho6Al2Tl", "functional": "PBE", "state": "optimized geometry", "e_form_ev_per_atom": -0.031, "energy_ev_per_atom": -4.18, "lattice": [[-1.671, 4.489, -1.647], [-6.772, -2.324, 0.537], [3.925, 1.438, 7.725]], "species": ["Ho", "Ho", "Ho", "Ho", "Ho", "Ho", "Al", "Al", "Tl"], "fractional_positions": [[0.170, 0.424, 0.340], [0.830, 0.084, 0.660], [0.830, 0.576, 0.660], [0.500, 0.258, 0.000], [0.170, 0.916, 0.340], [0.500, 0.742, 0.000], [0.667, 0.667, 0.334], [0.333, 0.333, 0.666], [0.000, 0.000, 0.000]]}


{"formula": "Ca3Np3ScTe8", "functional": "PBE", "state": "optimized geometry", "formation_energy_uncorrected_kj_per_mol_atoms": -104.9, "energy_ev_per_atom": -6.17, "lattice": [[8.781, 0.000, 0.000], [-4.390, 7.608, -0.030], [0.000, -5.047, 7.419]], "species": ["Ca", "Ca", "Ca", "Np", "Np", "Np", "Sc", "Te", "Te", "Te", "Te", "Te", "Te", "Te", "Te"], "fractional_positions": [[0.000, 0.000, 0.000], [0.000, 0.500, 0.000], [0.500, 0.500, 0.000], [0.500, 0.000, 0.500], [0.500, 0.500, 0.500], [0.000, 0.500, 0.500], [0.000, 0.000, 0.500], [0.250, 0.501, 0.251], [0.750, 0.499, 0.749], [0.759, 0.519, 0.262], [0.241, 0.481, 0.738], [0.759, 0.002, 0.262], [0.241, 0.998, 0.738], [0.243, 0.002, 0.262], [0.757, 0.998, 0.738]]}


{"formula": "Ba2Ta2Nb", "functional": "PBE", "state": "optimized geometry", "e_form_ev_per_atom": 1.044, "energy_ev_per_atom": -6.48, "lattice": [[-1.835, -4.613, 4.856], [0.750, -5.145, -4.604], [5.747, -0.597, 1.604]], "species": ["Nb", "Nb", "Ba", "Ba", "Ba", "Ba", "Ta", "Ta", "Ta", "Ta"], "fractional_positions": [[0.000, 0.000, 0.000], [0.500, 0.500, 0.000], [0.175, 0.675, 0.500], [0.675, 0.825, 0.500], [0.825, 0.325, 0.500], [0.325, 0.175, 0.500], [0.354, 0.854, 0.000], [0.854, 0.646, 0.000], [0.646, 0.146, 0.000], [0.146, 0.354, 0.000]]}


{"formula": "KAl2Tc", "functional": "PBE", "state": "optimized geometry", "e_form_ev_per_atom": 0.083, "energy_ev_per_atom": -4.65, "lattice": [[3.208, 0.000, 0.000], [0.000, 3.214, 0.000], [0.000, 0.000, 8.255]], "species": ["K", "Tc", "Al", "Al"], "fractional_positions": [[0.500, 0.500, 0.250], [0.500, 0.500, 0.750], [0.000, 0.000, 0.908], [0.000, 0.000, 0.592]]}


{"formula": "Y16Ho6Sc7", "functional": "PBE", "state": "optimized geometry", "e_form_ev_per_atom": 0.211, "energy_ev_per_atom": -5.83, "lattice": [[9.423, 0.000, 5.440], [3.141, 8.884, 5.440], [0.000, 0.000, 10.881]], "species": ["Y", "Y", "Y", "Y", "Y", "Y", "Y", "Y", "Y", "Y", "Y", "Y", "Y", "Y", "Y", "Y", "Ho", "Ho", "Ho", "Ho", "Ho", "Ho", "Sc", "Sc", "Sc", "Sc", "Sc", "Sc", "Sc"], "fractional_positions": [[0.881, 0.881, 0.357], [0.881, 0.881, 0.881], [0.881, 0.357, 0.881], [0.357, 0.881, 0.881], [0.119, 0.119, 0.119], [0.119, 0.119, 0.643], [0.119, 0.643, 0.119], [0.643, 0.119, 0.119], [0.655, 0.655, 0.036], [0.655, 0.655, 0.655], [0.655, 0.036, 0.655], [0.036, 0.655, 0.655], [0.345, 0.345, 0.345], [0.345, 0.345, 0.964], [0.345, 0.964, 0.345], [0.964, 0.345, 0.345], [0.288, 0.712, 0.288], [0.712, 0.288, 0.712], [0.712, 0.288, 0.288], [0.288, 0.712, 0.712], [0.712, 0.712, 0.288], [0.288, 0.288, 0.712], [0.000, 0.000, 0.000], [0.500, 0.000, 0.500], [0.000, 0.500, 0.000], [0.000, 0.500, 0.500], [0.500, 0.000, 0.000], [0.000, 0.000, 0.500], [0.500, 0.500, 0.000]]}


{"formula": "HgPt2W2", "functional": "PBE", "state": "optimized geometry", "e_form_ev_per_atom": 0.200, "energy_ev_per_atom": -7.46, "lattice": [[7.989, 0.000, 0.000], [0.000, 7.989, 0.000], [0.000, 0.000, 2.775]], "species": ["W", "W", "W", "W", "Hg", "Hg", "Pt", "Pt", "Pt", "Pt"], "fractional_positions": [[0.379, 0.879, 0.000], [0.879, 0.621, 0.000], [0.621, 0.121, 0.000], [0.121, 0.379, 0.000], [0.000, 0.000, 0.000], [0.500, 0.500, 0.000], [0.168, 0.668, 0.500], [0.668, 0.832, 0.500], [0.832, 0.332, 0.500], [0.332, 0.168, 0.500]]}


{"formula": "Ca2MnCr", "functional": "PBE", "state": "optimized geometry", "e_form_ev_per_atom": 0.626, "energy_ev_per_atom": -5.07, "lattice": [[3.712, 0.000, 0.000], [0.000, 3.674, -0.016], [0.000, 3.697, 7.588]], "species": ["Cr", "Ca", "Ca", "Mn"], "fractional_positions": [[0.500, 0.250, 0.250], [0.000, 0.006, 0.994], [0.000, 0.494, 0.506], [0.500, 0.750, 0.750]]}


{"formula": "HoLuHg", "functional": "PBE", "state": "optimized geometry", "e_form_ev_per_atom": -0.178, "energy_ev_per_atom": -3.31, "lattice": [[-1.665, 1.808, -2.676], [0.692, -3.968, -3.112], [-4.218, 0.308, 2.832]], "species": ["Lu", "Hg", "Ho"], "fractional_positions": [[0.096, 0.000, 0.000], [0.283, 0.333, 0.667], [0.621, 0.667, 0.333]]}


These records have ρ values of 8.237, 5.504, 3.822, 6.733, 7.493, 6.372, 8.377, 3.728, 4.971, 17.971, 2.996, 11.010 g cm⁻³, in the order they appear.